# 1
VASP calculation (GGA-PBE) on NbFeH2 after structural relaxation.

The structure in CIF format:
```
data_NbFeH2
_chemical_formula_sum 'Nb4 Fe4 H8'
_cell_length_a 4.002
_cell_length_b 4.002
_cell_length_c 8.873
_cell_angle_alpha 90.00
_cell_angle_beta 90.00
_cell_angle_gamma 90.00
_symmetry_space_group_name_H-M 'I -4 2 d'
_symmetry_Int_Tables_number 122
_symmetry_space_group_name_Hall 'I -4 2bw'
loop_
_atom_site_label
_atom_site_type_symbol
_atom_site_fract_x
_atom_site_fract_y
_atom_site_fract_z
Nb1 Nb 0.000 0.000 0.000
Fe1 Fe 0.000 0.000 0.500
H1 H 0.190 0.250 0.625
```

Calculated values
Its total energy is -25.2 eV per formula unit. Its theoretical density is 7.0 g cm⁻³. As for the crystal system: tetragonal. For the relative energy among the computed polymorphs, the calculation gives 90 meV per atom.

***

# 2
VASP calculation (GGA-PBE) on SrTaCl after structural relaxation.

The structure in CIF format:
```
data_SrTaCl
_chemical_formula_sum 'Sr1 Ta1 Cl1'
_cell_length_a 5.1276
_cell_length_b 5.1276
_cell_length_c 3.3053
_cell_angle_alpha 90.00
_cell_angle_beta 90.00
_cell_angle_gamma 120.00
_symmetry_space_group_name_H-M 'P -6 m 2'
_symmetry_Int_Tables_number 187
_symmetry_space_group_name_Hall 'P -6 2'
loop_
_atom_site_label
_atom_site_type_symbol
_atom_site_fract_x
_atom_site_fract_y
_atom_site_fract_z
Sr1 Sr 0.0000 0.0000 0.0000
Ta1 Ta 0.6667 0.3333 0.5000
Cl1 Cl 0.3333 0.6667 0.5000
```

Calculated values
Its total energy is -13.5 eV per formula unit. Its theoretical density is 6.7 g cm⁻³. As for the crystal system: hexagonal. For the relative energy among the computed polymorphs, the calculation gives 506 meV per atom.

***

# 3
VASP calculation (GGA-PBE) on KTa2Rh2 after structural relaxation.

The structure in CIF format:
```
data_KTa2Rh2
_chemical_formula_sum 'K2 Ta4 Rh4'
_cell_length_a 8.200
_cell_length_b 8.200
_cell_length_c 2.819
_cell_angle_alpha 90.00
_cell_angle_beta 90.00
_cell_angle_gamma 90.00
_symmetry_space_group_name_H-M 'P 4/m b m'
_symmetry_Int_Tables_number 127
_symmetry_space_group_name_Hall '-P 4 2ab'
loop_
_atom_site_label
_atom_site_type_symbol
_atom_site_fract_x
_atom_site_fract_y
_atom_site_fract_z
K1 K 0.000 0.000 0.000
Ta1 Ta 0.123 0.377 0.000
Rh1 Rh 0.165 0.665 0.500
```

Calculated values
The value obtained for the formation energy is 0.099 eV per atom. Its total energy is -39.0 eV per formula unit. Its theoretical density is 10.6 g cm⁻³. As for the crystal system: tetragonal. For the relative energy among the computed polymorphs, the calculation gives 0 meV per atom.

***

# 4
VASP calculation (GGA-PBE) on SrZnGeF2 after structural relaxation.

The structure in CIF format:
```
data_SrZnGeF2
_chemical_formula_sum 'Sr1 Zn1 Ge1 F2'
_cell_length_a 4.505
_cell_length_b 4.505
_cell_length_c 7.382
_cell_angle_alpha 90.00
_cell_angle_beta 90.00
_cell_angle_gamma 90.00
_symmetry_space_group_name_H-M 'P 4/m m m'
_symmetry_Int_Tables_number 123
_symmetry_space_group_name_Hall '-P 4 2'
loop_
_atom_site_label
_atom_site_type_symbol
_atom_site_fract_x
_atom_site_fract_y
_atom_site_fract_z
Sr1 Sr 0.000 0.000 0.000
Zn1 Zn 0.500 0.500 0.500
Ge1 Ge 0.000 0.000 0.500
F1 F 0.000 0.500 0.000
```

Calculated values
Its total energy is -18.9 eV per formula unit. Its theoretical density is 2.9 g cm⁻³. As for the crystal system: tetragonal.

***

# 5
VASP calculation (GGA-PBE) on Sc4CdPt5 after structural relaxation.

The structure in CIF format:
```
data_Sc4CdPt5
_chemical_formula_sum 'Sc4 Cd1 Pt5'
_cell_length_a 3.276
_cell_length_b 3.276
_cell_length_c 16.750
_cell_angle_alpha 90.00
_cell_angle_beta 90.00
_cell_angle_gamma 90.00
_symmetry_space_group_name_H-M 'P 4/m m m'
_symmetry_Int_Tables_number 123
_symmetry_space_group_name_Hall '-P 4 2'
loop_
_atom_site_label
_atom_site_type_symbol
_atom_site_fract_x
_atom_site_fract_y
_atom_site_fract_z
Sc1 Sc 0.000 0.000 0.101
Sc2 Sc 0.000 0.000 0.303
Cd1 Cd 0.000 0.000 0.500
Pt1 Pt 0.500 0.500 0.000
Pt2 Pt 0.500 0.500 0.200
Pt3 Pt 0.500 0.500 0.392
```

Calculated values
The value obtained for the formation energy is -1.094 eV per atom. Its total energy is -67.4 eV per formula unit. Its theoretical density is 11.7 g cm⁻³. As for the crystal system: tetragonal.

***

# 6
VASP calculation (GGA-PBE) on NbZnPt after structural relaxation.

The structure in CIF format:
```
data_NbZnPt
_chemical_formula_sum 'Nb4 Zn4 Pt4'
_cell_length_a 3.913
_cell_length_b 4.002
_cell_length_c 12.251
_cell_angle_alpha 90.00
_cell_angle_beta 90.00
_cell_angle_gamma 90.00
_symmetry_space_group_name_H-M 'A m m 2'
_symmetry_Int_Tables_number 38
_symmetry_space_group_name_Hall 'A 2 -2'
loop_
_atom_site_label
_atom_site_type_symbol
_atom_site_fract_x
_atom_site_fract_y
_atom_site_fract_z
Nb1 Nb 0.000 0.000 0.000
Nb2 Nb 0.500 0.000 0.173
Zn1 Zn 0.000 0.000 0.673
Zn2 Zn 0.500 0.000 0.837
Pt1 Pt 0.000 0.000 0.336
Pt2 Pt 0.500 0.000 0.508
```

Calculated values
The value obtained for the formation energy is -0.393 eV per atom. Its total energy is -18.6 eV per formula unit. Its theoretical density is 12.2 g cm⁻³. As for the crystal system: orthorhombic.

***

# 7
VASP calculation (GGA-PBE) on AcMgSbH2 after structural relaxation.

The structure in CIF format:
```
data_AcMgSbH2
_chemical_formula_sum 'Ac1 Mg1 Sb1 H2'
_cell_length_a 4.374
_cell_length_b 4.374
_cell_length_c 5.873
_cell_angle_alpha 90.00
_cell_angle_beta 90.00
_cell_angle_gamma 90.00
_symmetry_space_group_name_H-M 'P 4 m m'
_symmetry_Int_Tables_number 99
_symmetry_space_group_name_Hall 'P 4 -2'
loop_
_atom_site_label
_atom_site_type_symbol
_atom_site_fract_x
_atom_site_fract_y
_atom_site_fract_z
Ac1 Ac 0.000 0.000 0.000
Mg1 Mg 0.500 0.500 0.318
Sb1 Sb 0.500 0.500 0.796
H1 H 0.000 0.500 0.259
```

Calculated values
Its total energy is -18.9 eV per formula unit. Its theoretical density is 5.5 g cm⁻³. As for the crystal system: tetragonal.

***

# 8
VASP calculation (GGA-PBE) on TiMnSi after structural relaxation.

The structure in CIF format:
```
data_TiMnSi
_chemical_formula_sum 'Ti4 Mn4 Si4'
_cell_length_a 7.937
_cell_length_b 4.029
_cell_length_c 4.987
_cell_angle_alpha 90.00
_cell_angle_beta 98.52
_cell_angle_gamma 90.00
_symmetry_space_group_name_H-M 'C 1 m 1'
_symmetry_Int_Tables_number 8
_symmetry_space_group_name_Hall 'C -2y'
loop_
_atom_site_label
_atom_site_type_symbol
_atom_site_fract_x
_atom_site_fract_y
_atom_site_fract_z
Ti1 Ti 0.000 0.000 0.000
Ti2 Ti 0.208 0.500 0.283
Mn1 Mn 0.018 0.000 0.498
Mn2 Mn 0.327 0.000 0.812
Si1 Si 0.141 0.500 0.757
Si2 Si 0.392 0.000 0.311
```

Calculated values
Its total energy is -23.8 eV per formula unit. Its theoretical density is 5.5 g cm⁻³. As for the crystal system: monoclinic.

***

# 9
VASP calculation (GGA-PBE) on Tb2DyTm3 after structural relaxation.

The structure in CIF format:
```
data_Tb2DyTm3
_chemical_formula_sum 'Tb8 Dy4 Tm12'
_cell_length_a 17.227
_cell_length_b 7.032
_cell_length_c 6.077
_cell_angle_alpha 90.00
_cell_angle_beta 90.15
_cell_angle_gamma 90.00
_symmetry_space_group_name_H-M 'C 1 2/c 1'
_symmetry_Int_Tables_number 15
_symmetry_space_group_name_Hall '-C 2yc'
loop_
_atom_site_label
_atom_site_type_symbol
_atom_site_fract_x
_atom_site_fract_y
_atom_site_fract_z
Tb1 Tb 0.167 0.125 0.417
Dy1 Dy 0.000 0.375 0.250
Tm1 Tm 0.000 0.125 0.750
Tm2 Tm 0.167 0.375 0.917
```

Calculated values
The value obtained for the formation energy is 0.023 eV per atom. Its total energy is -27.1 eV per formula unit. Its theoretical density is 8.9 g cm⁻³. As for the crystal system: monoclinic. For the relative energy among the computed polymorphs, the calculation gives 0 meV per atom.

***

# 10
VASP calculation (GGA-PBE) on Na2NpCl5 after structural relaxation.

The structure in CIF format:
```
data_Na2NpCl5
_chemical_formula_sum 'Na8 Np4 Cl20'
_cell_length_a 5.407
_cell_length_b 13.800
_cell_length_c 13.952
_cell_angle_alpha 90.00
_cell_angle_beta 90.00
_cell_angle_gamma 90.00
_symmetry_space_group_name_H-M 'C m c m'
_symmetry_Int_Tables_number 63
_symmetry_space_group_name_Hall '-C 2c 2'
loop_
_atom_site_label
_atom_site_type_symbol
_atom_site_fract_x
_atom_site_fract_y
_atom_site_fract_z
Na1 Na 0.000 0.145 0.053
Np1 Np 0.000 0.188 0.750
Cl1 Cl 0.000 0.045 0.620
Cl2 Cl 0.000 0.262 0.250
Cl3 Cl 0.000 0.305 0.588
```

Calculated values
Its total energy is -38.7 eV per formula unit. Its theoretical density is 2.9 g cm⁻³. As for the crystal system: orthorhombic.

***

# 11
VASP calculation (GGA-PBE) on Mn3WN after structural relaxation.

The structure in CIF format:
```
data_Mn3WN
_chemical_formula_sum 'Mn3 W1 N1'
_cell_length_a 3.778
_cell_length_b 3.778
_cell_length_c 3.778
_cell_angle_alpha 90.00
_cell_angle_beta 90.00
_cell_angle_gamma 90.00
_symmetry_space_group_name_H-M 'P m -3 m'
_symmetry_Int_Tables_number 221
_symmetry_space_group_name_Hall '-P 4 2 3'
loop_
_atom_site_label
_atom_site_type_symbol
_atom_site_fract_x
_atom_site_fract_y
_atom_site_fract_z
Mn1 Mn 0.000 0.000 0.500
W1 W 0.500 0.500 0.500
N1 N 0.000 0.000 0.000
```

Calculated values
Its total energy is -49.3 eV per formula unit. Its theoretical density is 11.2 g cm⁻³. As for the crystal system: cubic. For the relative energy among the computed polymorphs, the calculation gives 0 meV per atom.

***

# 12
VASP calculation (GGA-PBE) on CaRh2Br after structural relaxation.

The structure in CIF format:
```
data_CaRh2Br
_chemical_formula_sum 'Ca1 Rh2 Br1'
_cell_length_a 3.245
_cell_length_b 4.495
_cell_length_c 5.519
_cell_angle_alpha 90.00
_cell_angle_beta 90.00
_cell_angle_gamma 90.00
_symmetry_space_group_name_H-M 'P m m m'
_symmetry_Int_Tables_number 47
_symmetry_space_group_name_Hall '-P 2 2'
loop_
_atom_site_label
_atom_site_type_symbol
_atom_site_fract_x
_atom_site_fract_y
_atom_site_fract_z
Ca1 Ca 0.000 0.000 0.000
Rh1 Rh 0.500 0.500 0.231
Br1 Br 0.000 0.000 0.500
```

Calculated values
Its total energy is -17.8 eV per formula unit. Its theoretical density is 6.7 g cm⁻³. As for the crystal system: orthorhombic. For the relative energy among the computed polymorphs, the calculation gives 454 meV per atom.

***

| no. | Fermi-level density of states (states/eV per cell) |
| --- | --- |
| 1 | 12.37 |
| 2 | 3.71 |
| 3 | 10.45 |
| 4 | 1.80 |
| 5 | 4.52 |
| 6 | 5.55 |
| 7 | 0.23 |
| 8 | 6.84 |
| 9 | 33.87 |
| 10 | 28.15 |
| 11 | 4.51 |
| 12 | 3.50 |